[1]
MnMo3Br | GGA-PBE | optimized geometry

Output
E_form (uncorrected) (eV per atom): 2.023
Spin magnetization (μB/atom): 0.02
Space-group type: Pm-3m (221)
Crystal system: cubic

Lattice parameters (Å, degrees): 4.547 4.547 4.547 90.00 90.00 90.00
Fractional coordinates of all 5 atoms:
Mn 0.000 0.000 0.000
Mo 0.000 0.500 0.500
Mo 0.500 0.000 0.500
Mo 0.500 0.500 0.000
Br 0.500 0.500 0.500

---

[2]
La2PmGa | GGA-PBE | optimized geometry

Output
Spin magnetization (μB/atom): 0.00
Energy of formation from the pure elements (eV per atom): -0.146
Space-group type: R3m (160)
Crystal system: trigonal

Lattice parameters (Å, degrees): 10.846 10.846 10.846 20.12 20.12 20.12
Fractional coordinates of all 4 atoms:
La 0.000 0.000 0.000
La 0.191 0.191 0.191
Pm 0.762 0.762 0.762
Ga 0.595 0.595 0.595

---

[3]
Er2Tc2Ge3 | GGA-PBE | optimized geometry

Output
Spin magnetization (μB/atom): 0.00
Energy of formation from the pure elements (eV per atom): -0.485
Space-group type: C2/m (12)
Crystal system: monoclinic

Lattice parameters (Å, degrees): 6.127 6.127 7.241 125.58 125.58 40.91
Fractional coordinates of all 7 atoms:
Er 0.070 0.070 0.326
Er 0.930 0.930 0.674
Tc 0.267 0.267 0.915
Tc 0.733 0.733 0.085
Ge 0.353 0.353 0.337
Ge 0.500 0.500 0.000
Ge 0.647 0.647 0.663

---

[4]
InBiMo2 | GGA-PBE | optimized geometry

Output
Spin magnetization (μB/atom): 0.21
Energy of formation from the pure elements (eV per atom): 0.705
Space-group type: Fm-3m (225)
Crystal system: cubic

Lattice parameters (Å, degrees): 4.776 4.776 4.776 60.00 60.00 60.00
Fractional coordinates of all 4 atoms:
In 0.000 0.000 0.000
Bi 0.500 0.500 0.500
Mo 0.250 0.250 0.250
Mo 0.750 0.750 0.750

---

[5]
Cu2SiBiO | GGA-PBE | optimized geometry

Output
E_form (uncorrected) (eV per atom): 0.184
Spin magnetization (μB/atom): 0.00
Space-group type: P4/mmm (123)
Crystal system: tetragonal

Lattice parameters (Å, degrees): 4.055 4.055 5.093 90.00 90.00 90.00
Fractional coordinates of all 5 atoms:
Cu 0.000 0.500 0.000
Cu 0.500 0.000 0.000
Si 0.000 0.000 0.500
Bi 0.500 0.500 0.500
O 0.500 0.500 0.000

---

[6]
RbH3Pd | GGA-PBE | optimized geometry

Output
Spin magnetization (μB/atom): 0.40
Total energy (eV per atom): -1.815
Space-group type: Pm-3m (221)
Crystal system: cubic

Lattice parameters (Å, degrees): 4.736 4.736 4.736 90.00 90.00 90.00
Fractional coordinates of all 5 atoms:
Rb 0.000 0.000 0.000
H 0.000 0.000 0.500
H 0.000 0.500 0.000
H 0.500 0.000 0.000
Pd 0.500 0.500 0.500

---

[7]
Si2TcMo | GGA-PBE | optimized geometry

Output
E_form (uncorrected) (eV per atom): -0.352
Spin magnetization (μB/atom): 0.00
Space-group type: Imm2 (44)
Crystal system: orthorhombic

Lattice parameters (Å, degrees): 5.877 5.877 5.877 148.69 145.96 46.92
Fractional coordinates of all 4 atoms:
Si 0.000 0.000 0.000
Si 0.751 0.251 0.500
Tc 0.573 0.573 0.000
Mo 0.330 0.830 0.500

---

[8]
Rb2TaBeBi | GGA-PBE | optimized geometry

Output
Spin magnetization (μB/atom): 0.80
Energy of formation from the pure elements (eV per atom): 1.396
Space-group type: P4/mmm (123)
Crystal system: tetragonal

Lattice parameters (Å, degrees): 6.925 6.925 4.408 90.00 90.00 90.00
Fractional coordinates of all 5 atoms:
Rb 0.000 0.500 0.000
Rb 0.500 0.000 0.000
Ta 0.000 0.000 0.500
Be 0.500 0.500 0.000
Bi 0.500 0.500 0.500

---

Please write out number 3 again, unchanged.
Er2Tc2Ge3 | GGA-PBE | optimized geometry

Output
Spin magnetization (μB/atom): 0.00
Energy of formation from the pure elements (eV per atom): -0.485
Space-group type: C2/m (12)
Crystal system: monoclinic

Lattice parameters (Å, degrees): 6.127 6.127 7.241 125.58 125.58 40.91
Fractional coordinates of all 7 atoms:
Er 0.070 0.070 0.326
Er 0.930 0.930 0.674
Tc 0.267 0.267 0.915
Tc 0.733 0.733 0.085
Ge 0.353 0.353 0.337
Ge 0.500 0.500 0.000
Ge 0.647 0.647 0.663